This record from Alexandria via LeMat-Bulk describes a geometry-optimized La4PmPr3Se8 structure. The functional is PBE.

a b c (Å): 8.552 8.552 8.552
angles (deg): 60.17 60.17 60.17
Sites, in units of the cell vectors:
La: 0.000 0.000 0.000
La: 0.000 0.500 0.500
La: 0.500 0.000 0.500
La: 0.500 0.500 0.000
Pm: 0.500 0.500 0.500
Pr: 0.000 0.000 0.500
Pr: 0.000 0.500 0.000
Pr: 0.500 0.000 0.000
Se: 0.249 0.249 0.249
Se: 0.252 0.747 0.747
Se: 0.253 0.253 0.748
Se: 0.253 0.748 0.253
Se: 0.747 0.252 0.747
Se: 0.747 0.747 0.252
Se: 0.748 0.253 0.253
Se: 0.751 0.751 0.751

Summary:
raw formation energy = -1.92 eV/atom
crystal system = trigonal